(1)
First-principles (PBE-GGA) data for a relaxed KRbSrH4 crystal, as listed in Alexandria via LeMat-Bulk.

Summary:
For the uncorrected energy, the calculation gives -38.3 eV per cell.

Lattice parameters (Å, degrees): 4.707 4.707 14.683 90.00 90.00 90.00
Space group I4mm (No. 107)
Inequivalent atoms, fractional coordinates:
K 0.000 0.000 0.000 x2
Rb 0.000 0.000 0.300 x2
Sr 0.000 0.000 0.649 x2
H 0.000 0.000 0.484 x2
H 0.000 0.000 0.818 x2
H 0.000 0.500 0.146 x4


(2)
First-principles (PBE-GGA) data for a relaxed In12Hg2Bi5 crystal, as listed in Alexandria via LeMat-Bulk.

Summary:
For the uncorrected energy, the calculation gives -104.0 eV per cell. The value obtained for the formation energy is 0.045 eV/atom.

Lattice parameters (Å, degrees): 19.949 8.510 6.736 90.00 99.29 90.00
Space group C2/m (No. 12)
Inequivalent atoms, fractional coordinates:
In 0.058 0.000 0.229 x4
In 0.095 0.232 0.887 x8
In 0.105 0.500 0.437 x4
In 0.196 0.235 0.294 x8
Hg 0.000 0.244 0.500 x4
Bi 0.000 0.500 0.000 x2
Bi 0.184 0.000 0.671 x4
Bi 0.210 0.500 0.889 x4